No. 1
Pa2PH, optimized geometry, DFT GGA-PBE; density of states at the Fermi level = 1.8092 states/eV per atom; uncorrected energy = -7.238 eV/atom
1.0
3.3153 0.0000 0.0000
0.0000 3.3153 0.0000
0.0000 0.0000 6.2095
Pa P H
2 1 1
Direct
0.0000 0.0000 0.2327
0.0000 0.0000 0.7673
0.5000 0.5000 0.5000
0.5000 0.5000 0.0000

No. 2
Pa3P2H6, optimized geometry, DFT GGA-PBE; density of states at the Fermi level = 0.9429 states/eV per atom; uncorrected energy = -5.894 eV/atom
1.0
6.8009 0.0000 0.0000
-3.4005 5.8898 0.0000
0.0000 0.0000 3.7040
Pa P H
3 2 6
Direct
0.0000 0.6442 0.0000
0.3558 0.3558 0.0000
0.6442 0.0000 0.0000
0.3333 0.6667 0.5000
0.6667 0.3333 0.5000
0.0000 0.3157 0.0000
0.0000 0.8049 0.5000
0.1951 0.1951 0.5000
0.3157 0.0000 0.0000
0.6843 0.6843 0.0000
0.8049 0.0000 0.5000

No. 3
PaPH, optimized geometry, DFT GGA-PBE; density of states at the Fermi level = 1.1422 states/eV per atom; uncorrected energy = -6.979 eV/atom
1.0
3.9364 0.0000 0.0000
0.0000 3.9364 0.0000
0.0000 0.0000 5.8109
Pa P H
2 2 2
Direct
0.2500 0.2500 0.2167
0.7500 0.7500 0.7833
0.2500 0.2500 0.6959
0.7500 0.7500 0.3041
0.2500 0.7500 0.0000
0.7500 0.2500 0.0000

No. 4
PaPH, optimized geometry, DFT GGA-PBE; density of states at the Fermi level = 1.9829 states/eV per atom; uncorrected energy = -6.508 eV/atom
1.0
6.1705 0.0000 0.0000
0.0000 6.1705 0.0000
0.0000 0.0000 6.1705
Pa P H
4 4 4
Direct
0.0000 0.0000 0.0000
0.0000 0.5000 0.5000
0.5000 0.0000 0.5000
0.5000 0.5000 0.0000
0.2500 0.2500 0.2500
0.2500 0.7500 0.7500
0.7500 0.2500 0.7500
0.7500 0.7500 0.2500
0.2500 0.2500 0.7500
0.2500 0.7500 0.2500
0.7500 0.2500 0.2500
0.7500 0.7500 0.7500

No. 5
Pa2PH, optimized geometry, DFT GGA-PBE; density of states at the Fermi level = 1.7034 states/eV per atom; uncorrected energy = -7.365 eV/atom
1.0
3.3323 0.0000 0.0000
0.0000 12.3542 0.0000
0.0000 0.0000 6.7278
Pa P H
8 4 4
Direct
0.0000 0.1337 0.0031
0.0000 0.1337 0.4969
0.0000 0.8663 0.5031
0.0000 0.8663 0.9969
0.5000 0.3663 0.5031
0.5000 0.3663 0.9969
0.5000 0.6337 0.0031
0.5000 0.6337 0.4969
0.0000 0.4955 0.2500
0.0000 0.5045 0.7500
0.5000 0.0045 0.7500
0.5000 0.9955 0.2500
0.0000 0.2770 0.7500
0.0000 0.7230 0.2500
0.5000 0.2230 0.2500
0.5000 0.7770 0.7500

No. 6
PaPH, optimized geometry, DFT GGA-PBE; density of states at the Fermi level = 0.8830 states/eV per atom; uncorrected energy = -6.999 eV/atom
1.0
3.8426 0.0000 0.0000
-1.9213 3.3278 0.0000
0.0000 0.0000 3.6913
Pa P H
1 1 1
Direct
0.0000 0.0000 0.0000
0.6667 0.3333 0.5000
0.3333 0.6667 0.0000

No. 7
PaPHPd, optimized geometry, DFT GGA-PBE; density of states at the Fermi level = 1.2147 states/eV per atom; uncorrected energy = -6.620 eV/atom
1.0
4.1276 0.0000 0.0000
-2.0638 3.5746 0.0000
0.0000 0.0000 4.0058
Pa P H Pd
1 1 1 1
Direct
0.0000 0.0000 0.0000
0.3333 0.6667 0.5000
0.6667 0.3333 0.0000
0.6667 0.3333 0.5000

No. 8
Pa3P2H4Pd2, optimized geometry, DFT GGA-PBE; density of states at the Fermi level = 1.0262 states/eV per atom; uncorrected energy = -6.308 eV/atom
1.0
-1.9580 1.9580 10.1769
1.9580 -1.9580 10.1769
1.9580 1.9580 -10.1769
Pa P H Pd
3 2 4 2
Direct
0.0000 0.0000 0.0000
0.1688 0.1688 0.0000
0.8312 0.8312 0.0000
0.3057 0.3057 0.0000
0.6943 0.6943 0.0000
0.0781 0.5781 0.5000
0.4219 0.9219 0.5000
0.5781 0.0781 0.5000
0.9219 0.4219 0.5000
0.4295 0.4295 0.0000
0.5705 0.5705 0.0000

- Among the records above, which one has the lowest density of states at the Fermi level?
  number 6

- What is the formula in the first record?
  Pa2PH